Run one
Compound: PaTlSn
Source: Alexandria via LeMat-Bulk
Functional: PBE
Structure: optimized geometry

Summary:
total magnetic moment: 1.2 μB/cell

CIF file:
```
data_PaTlSn
_chemical_formula_sum 'Pa1 Tl1 Sn1'
_cell_length_a 5.3865
_cell_length_b 5.3865
_cell_length_c 3.1051
_cell_angle_alpha 90.00
_cell_angle_beta 90.00
_cell_angle_gamma 120.00
_space_group_name_H-M_alt 'P 3 m 1'
_space_group_IT_number 156
loop_
_space_group_symop_operation_xyz
'x,y,z'
'-y,x-y,z'
'-x+y,-x,z'
'-y,-x,z'
'-x+y,y,z'
'x,x-y,z'
loop_
_atom_site_label
_atom_site_type_symbol
_atom_site_fract_x
_atom_site_fract_y
_atom_site_fract_z
Pa1 Pa 0.0000 0.0000 0.0000
Tl1 Tl 0.3333 0.6667 0.5016
Sn1 Sn 0.6667 0.3333 0.4991
```


Run two
Compound: PaTlSn
Source: Alexandria via LeMat-Bulk
Functional: PBE
Structure: optimized geometry

Summary:
total magnetic moment: 1.6 μB/cell

CIF file:
```
data_PaTlSn
_chemical_formula_sum 'Pa2 Tl2 Sn2'
_cell_length_a 3.2415
_cell_length_b 3.2415
_cell_length_c 15.3008
_cell_angle_alpha 90.00
_cell_angle_beta 90.00
_cell_angle_gamma 90.00
_space_group_name_H-M_alt 'I 4 m m'
_space_group_IT_number 107
_space_group_name_Hall 'I 4 -2'
loop_
_atom_site_label
_atom_site_type_symbol
_atom_site_fract_x
_atom_site_fract_y
_atom_site_fract_z
Pa1 Pa 0.0000 0.0000 0.0000
Tl1 Tl 0.0000 0.0000 0.3337
Sn1 Sn 0.0000 0.0000 0.6563
```


It is run two that is the least stable of them.


Run one
Compound: Tm2PaSn
Source: Alexandria via LeMat-Bulk
Functional: PBE
Structure: optimized geometry

Summary:
total magnetic moment: 0.0 μB/cell

CIF file:
```
data_Tm2PaSn
_chemical_formula_sum 'Tm6 Pa3 Sn3'
_cell_length_a 3.4128
_cell_length_b 3.4128
_cell_length_c 31.9666
_cell_angle_alpha 90.00
_cell_angle_beta 90.00
_cell_angle_gamma 120.00
_space_group_name_H-M_alt 'R -3 m'
_space_group_IT_number 166
_space_group_name_Hall '-R 3 2"'
loop_
_atom_site_label
_atom_site_type_symbol
_atom_site_fract_x
_atom_site_fract_y
_atom_site_fract_z
Tm1 Tm 0.0000 0.0000 0.2482
Pa1 Pa 0.0000 0.0000 0.0000
Sn1 Sn 0.0000 0.0000 0.5000
```


Run two
Compound: Tm2PaSn
Source: Alexandria via LeMat-Bulk
Functional: PBE
Structure: optimized geometry

Summary:
total magnetic moment: 5.5 μB/cell

CIF file:
```
data_Tm2PaSn
_chemical_formula_sum 'Tm8 Pa4 Sn4'
_cell_length_a 7.4731
_cell_length_b 7.4731
_cell_length_c 7.4731
_cell_angle_alpha 90.00
_cell_angle_beta 90.00
_cell_angle_gamma 90.00
_space_group_name_H-M_alt 'F m -3 m'
_space_group_IT_number 225
_space_group_name_Hall '-F 4 2 3'
loop_
_atom_site_label
_atom_site_type_symbol
_atom_site_fract_x
_atom_site_fract_y
_atom_site_fract_z
Tm1 Tm 0.2500 0.2500 0.2500
Pa1 Pa 0.0000 0.0000 0.0000
Sn1 Sn 0.0000 0.0000 0.5000
```


It is run two that is the least stable of them.